# MnBePS2 | the Alexandria database | GGA-PBE | relaxed
data_MnBePS2
_chemical_formula_sum 'Mn1 Be1 P1 S2'
_symmetry_space_group_name_H-M 'P 4/m m m'
_symmetry_Int_Tables_number 123
_symmetry_space_group_name_Hall '-P 4 2'
_cell_length_a 4.3235
_cell_length_b 4.3235
_cell_length_c 4.0228
_cell_angle_alpha 90.00
_cell_angle_beta 90.00
_cell_angle_gamma 90.00
loop_
_atom_site_label
_atom_site_type_symbol
_atom_site_fract_x
_atom_site_fract_y
_atom_site_fract_z
Mn1 Mn 0.0000 0.0000 0.0000
Be1 Be 0.5000 0.5000 0.5000
P1 P 0.5000 0.5000 0.0000
S1 S 0.0000 0.5000 0.5000
# **ΔE_f (raw)**: 0.89 eV per atom
# **ΔE to the lowest computed polymorph**: 0.193 eV/atom
# **DOS(E_F)**: 5.21 states/eV/cell
# **Magnetization**: 0.062 Bohr magnetons per cell